The following is a GGA-PBE calculation of a relaxed structure of Ac2Zn5Sn, from Alexandria via LeMat-Bulk.

- ΔE_f: -39 kJ/mol of atoms
- Symmetry: No. 63
- Density of states at the Fermi level: 8.60 states/eV/cell

Cell lengths 4.7087, 8.9075, 9.3346 Å; angles 90.00, 90.00, 105.33 degrees
Fractional positions:
1 Ac 0.7906 0.5812 0.7500
2 Ac 0.2094 0.4188 0.2500
3 Ac 0.0000 0.0000 0.0000
4 Ac 0.0000 0.0000 0.5000
5 Zn 0.1837 0.3674 0.8910
6 Zn 0.8163 0.6326 0.1090
7 Zn 0.1837 0.3674 0.6090
8 Zn 0.8163 0.6326 0.3910
9 Zn 0.3439 0.6878 0.9894
10 Zn 0.6561 0.3122 0.0106
11 Zn 0.3439 0.6878 0.5106
12 Zn 0.6561 0.3122 0.4894
13 Zn 0.6000 0.1999 0.7500
14 Zn 0.4000 0.8001 0.2500
15 Sn 0.4412 0.8823 0.7500
16 Sn 0.5588 0.1177 0.2500

***

The following is a GGA-PBE calculation of a relaxed structure of NiIr5, from Alexandria via LeMat-Bulk.

- ΔE_f: 22 kJ/mol of atoms
- Symmetry: No. 65
- Density of states at the Fermi level: 8.38 states/eV/cell
- Polymorph energy (0 for the lowest one): 194 meV/atom

Cell lengths 2.7689, 4.4193, 7.2965 Å; angles 107.63, 90.00, 90.00 degrees
Fractional positions:
1 Ni 0.0000 0.0000 0.0000
2 Ir 0.0000 0.6850 0.3699
3 Ir 0.0000 0.3150 0.6301
4 Ir 0.5000 0.5000 0.0000
5 Ir 0.5000 0.1452 0.2905
6 Ir 0.5000 0.8548 0.7095

***

The following is a GGA-PBE calculation of a relaxed structure of NaHgP2, from Alexandria via LeMat-Bulk.

- ΔE_f: 26 kJ/mol of atoms
- Symmetry: No. 122
- Density of states at the Fermi level: 5.92 states/eV/cell

Cell lengths 7.7634, 7.7634, 6.1492 Å; angles 50.86, 50.86, 90.00 degrees
Fractional positions:
1 P 0.6690 0.1250 0.2500
2 P 0.0810 0.6250 0.2500
3 P 0.3750 0.3310 0.7500
4 P 0.8750 0.9190 0.7500
5 Hg 0.0000 0.0000 0.0000
6 Hg 0.7500 0.2500 0.5000
7 Na 0.5000 0.5000 0.0000
8 Na 0.2500 0.7500 0.5000

***

The following is a GGA-PBE calculation of a relaxed structure of PrSmSeS, from Alexandria via LeMat-Bulk.

- Symmetry: No. 160
- ΔE_f (raw): -187.00 kJ per mole of atoms
- Density of states at the Fermi level: 1.24 states/eV/cell
- Polymorph energy (0 for the lowest one): 0 meV/atom

Cell lengths 4.1275, 4.1275, 7.2183 Å; angles 73.39, 73.39, 60.00 degrees
Fractional positions:
1 Pr 0.2577 0.2577 0.2268
2 Sm 0.7421 0.7421 0.7738
3 Se 0.4973 0.4973 0.5080
4 S 0.0029 0.0029 0.9913

***

The following is a GGA-PBE calculation of a relaxed structure of LiPrThGe, from Alexandria via LeMat-Bulk.

- ΔE_f: -25 kJ/mol of atoms
- Symmetry: No. 216
- Density of states at the Fermi level: 2.43 states/eV/cell

Cell lengths 5.2179, 5.2179, 5.2179 Å; angles 60.00, 60.00, 60.00 degrees
Fractional positions:
1 Pr 0.5000 0.5000 0.5000
2 Ge 0.2500 0.2500 0.2500
3 Th 0.0000 0.0000 0.0000
4 Li 0.7500 0.7500 0.7500

***

The following is a GGA-PBE calculation of a relaxed structure of CaPrMg3, from Alexandria via LeMat-Bulk.

- ΔE_f: 4 kJ/mol of atoms
- Symmetry: No. 63
- Density of states at the Fermi level: 10.59 states/eV/cell

Cell lengths 5.7879, 6.8372, 8.6356 Å; angles 113.32, 90.00, 90.00 degrees
Fractional positions:
1 Ca 0.7500 0.3988 0.7976
2 Ca 0.2500 0.6012 0.2024
3 Pr 0.7500 0.8016 0.6031
4 Pr 0.2500 0.1984 0.3969
5 Mg 0.7500 0.8998 0.2699
6 Mg 0.7500 0.3701 0.2699
7 Mg 0.2500 0.6299 0.7301
8 Mg 0.2500 0.1002 0.7301
9 Mg 0.0000 0.0000 0.0000
10 Mg 0.5000 0.0000 0.0000

***

The following is a GGA-PBE calculation of a relaxed structure of LiFe2Ni8, from Alexandria via LeMat-Bulk.

- ΔE_f: 9 kJ/mol of atoms
- Symmetry: No. 71
- Density of states at the Fermi level: 12.25 states/eV/cell

Cell lengths 4.0013, 5.2656, 6.7525 Å; angles 112.95, 107.23, 90.00 degrees
Last column: magnetic moment on the atom in μB.
Fractional positions:
1 Li 0.5000 0.0000 0.0000  -0.05
2 Fe 0.1891 0.6892 0.3783  2.69
3 Fe 0.8109 0.3108 0.6217  2.69
4 Ni 0.6416 0.8721 0.2831  0.60
5 Ni 0.3584 0.5889 0.7169  0.60
6 Ni 0.1724 0.1726 0.3448  0.54
7 Ni 0.0000 0.2711 0.0001  0.59
8 Ni 0.8276 0.8274 0.6552  0.54
9 Ni 0.6416 0.4111 0.2831  0.60
10 Ni 0.3584 0.1279 0.7169  0.60
11 Ni 0.0000 0.7289 0.9999  0.59

***

The following is a GGA-PBE calculation of a relaxed structure of SnRhBr3, from Alexandria via LeMat-Bulk.

- Symmetry: No. 221
- ΔE_f (raw): -9.60 kJ per mole of atoms
- Density of states at the Fermi level: 3.25 states/eV/cell
- Polymorph energy (0 for the lowest one): 0 meV/atom

Cell lengths 5.0897, 5.0897, 5.0897 Å; angles 90.00, 90.00, 90.00 degrees
Fractional positions:
1 Rh 0.0000 0.0000 0.0000
2 Sn 0.5000 0.5000 0.5000
3 Br 0.0000 0.5000 0.0000
4 Br 0.0000 0.0000 0.5000
5 Br 0.5000 0.0000 0.0000

***

The following is a GGA-PBE calculation of a relaxed structure of CaAs2Pd4, from Alexandria via LeMat-Bulk.

- ΔE_f: -59 kJ/mol of atoms
- Symmetry: No. 65
- Density of states at the Fermi level: 3.67 states/eV/cell

Cell lengths 4.4192, 4.4022, 6.9399 Å; angles 108.49, 90.00, 90.00 degrees
Fractional positions:
1 Ca 0.0000 0.0000 0.0000
2 As 0.5000 0.5971 0.1941
3 As 0.5000 0.4029 0.8059
4 Pd 0.5000 0.8202 0.6404
5 Pd 0.0000 0.6791 0.3583
6 Pd 0.5000 0.1798 0.3596
7 Pd 0.0000 0.3209 0.6417

***

The following is a GGA-PBE calculation of a relaxed structure of TbNdSm2As4, from Alexandria via LeMat-Bulk.

- ΔE_f: -147 kJ/mol of atoms
- Symmetry: No. 10
- Density of states at the Fermi level: 0.72 states/eV/cell

Cell lengths 4.2134, 7.2923, 7.2918 Å; angles 70.54, 90.00, 90.00 degrees
Fractional positions:
1 Tb 0.0000 0.5000 0.5000
2 Nd 0.5000 0.5000 0.0000
3 Sm 0.0000 0.0000 0.0000
4 Sm 0.5000 0.0000 0.5000
5 As 0.0000 0.7507 0.7461
6 As 0.0000 0.2493 0.2539
7 As 0.5000 0.7481 0.2542
8 As 0.5000 0.2519 0.7458

***

The following is a GGA-PBE calculation of a relaxed structure of ThMg2Pd8, from Alexandria via LeMat-Bulk.

- ΔE_f: -63 kJ/mol of atoms
- Symmetry: No. 12
- Density of states at the Fermi level: 5.17 states/eV/cell
- Polymorph energy (0 for the lowest one): 0 meV/atom

Cell lengths 4.1782, 6.4506, 7.5336 Å; angles 106.39, 106.10, 90.00 degrees
Fractional positions:
1 Th 0.5000 0.0000 0.0000
2 Mg 0.7782 0.3466 0.5564
3 Mg 0.2218 0.6534 0.4436
4 Pd 0.4035 0.5330 0.8069
5 Pd 0.6828 0.9187 0.3656
6 Pd 0.8548 0.7999 0.7097
7 Pd 0.9571 0.2787 0.9141
8 Pd 0.1452 0.2001 0.2903
9 Pd 0.3172 0.0813 0.6344
10 Pd 0.5965 0.4670 0.1931
11 Pd 0.0429 0.7213 0.0859

***

The following is a GGA-PBE calculation of a relaxed structure of Al2AgW, from Alexandria via LeMat-Bulk.

- ΔE_f: 17 kJ/mol of atoms
- Symmetry: No. 99
- Density of states at the Fermi level: 0.61 states/eV/cell
- Polymorph energy (0 for the lowest one): 168 meV/atom

Cell lengths 2.7596, 2.7596, 8.5287 Å; angles 90.00, 90.00, 89.96 degrees
Fractional positions:
1 Ag 0.5000 0.5000 0.7540
2 W 0.0000 0.0000 0.4874
3 Al 0.0000 0.0000 0.0064
4 Al 0.5000 0.5000 0.2522

***

The following is a GGA-PBE calculation of a relaxed structure of PmY3Ho2Bi6, from Alexandria via LeMat-Bulk.

- ΔE_f: -85 kJ/mol of atoms
- Symmetry: No. 12
- Density of states at the Fermi level: 2.02 states/eV/cell

Cell lengths 4.4921, 8.9847, 10.0421 Å; angles 102.86, 102.92, 90.00 degrees
Fractional positions:
1 Pm 0.5000 0.0000 0.0000
2 Y 0.5000 0.5000 0.0000
3 Y 0.8345 0.1678 0.6689
4 Y 0.1655 0.8322 0.3311
5 Ho 0.8328 0.6667 0.6655
6 Ho 0.1672 0.3333 0.3345
7 Bi 0.3314 0.9148 0.6627
8 Bi 0.6670 0.5818 0.3340
9 Bi 0.6686 0.0852 0.3373
10 Bi 0.0011 0.2549 0.0021
11 Bi 0.9989 0.7451 0.9979
12 Bi 0.3330 0.4182 0.6660

***

The following is a GGA-PBE calculation of a relaxed structure of CaMg2Re, from Alexandria via LeMat-Bulk.

- ΔE_f: 57 kJ/mol of atoms
- Symmetry: No. 123
- Density of states at the Fermi level: 3.37 states/eV/cell
- Polymorph energy (0 for the lowest one): 185 meV/atom

Cell lengths 4.1025, 4.4785, 4.4785 Å; angles 90.00, 90.00, 90.00 degrees
Fractional positions:
1 Ca 0.5000 0.0000 0.5000
2 Mg 0.0000 0.0000 0.0000
3 Mg 0.0000 0.5000 0.5000
4 Re 0.5000 0.5000 0.0000

***

The following is a GGA-PBE calculation of a relaxed structure of Pm2Y3Tm7, from Alexandria via LeMat-Bulk.

- ΔE_f: 10 kJ/mol of atoms
- Symmetry: No. 65
- Density of states at the Fermi level: 17.99 states/eV/cell
- Polymorph energy (0 for the lowest one): 0 meV/atom

Cell lengths 3.6026, 5.6450, 18.8998 Å; angles 98.59, 90.00, 90.00 degrees
Fractional positions:
1 Pm 0.0000 0.8534 0.7068
2 Pm 0.0000 0.1466 0.2932
3 Y 0.5000 0.5000 0.0000
4 Y 0.5000 0.6857 0.3713
5 Y 0.5000 0.3143 0.6287
6 Tm 0.0000 0.4108 0.8215
7 Tm 0.0000 0.7696 0.5392
8 Tm 0.0000 0.0000 0.0000
9 Tm 0.0000 0.5892 0.1785
10 Tm 0.5000 0.0706 0.1412
11 Tm 0.5000 0.9294 0.8588
12 Tm 0.0000 0.2304 0.4608

***

The following is a GGA-PBE calculation of a relaxed structure of BaTaMnPb2, from Alexandria via LeMat-Bulk.

- ΔE_f: 90 kJ/mol of atoms
- Symmetry: No. 123
- Density of states at the Fermi level: 4.07 states/eV/cell

Cell lengths 5.5139, 6.0433, 5.5139 Å; angles 90.00, 90.00, 90.00 degrees
Last column: magnetic moment on the atom in μB.
Fractional positions:
1 Pb 0.0000 0.0000 0.5000  -0.01
2 Pb 0.5000 0.0000 0.0000  0.00
3 Mn 0.5000 0.5000 0.5000  4.43
4 Ba 0.0000 0.5000 0.0000  0.00
5 Ta 0.0000 0.0000 0.0000  0.18

***

The following is a GGA-PBE calculation of a relaxed structure of Be4NiPt, from Alexandria via LeMat-Bulk.

- ΔE_f: -45 kJ/mol of atoms
- Symmetry: No. 216
- Density of states at the Fermi level: 2.75 states/eV/cell

Cell lengths 4.2950, 4.2950, 4.2950 Å; angles 60.00, 60.00, 60.00 degrees
Fractional positions:
1 Be 0.3758 0.3758 0.3758
2 Be 0.3758 0.8727 0.3758
3 Be 0.3758 0.3758 0.8727
4 Be 0.8727 0.3758 0.3758
5 Ni 0.7500 0.7500 0.7500
6 Pt 0.0000 0.0000 0.0000

***

The following is a GGA-PBE calculation of a relaxed structure of CeMgHg, from Alexandria via LeMat-Bulk.

- ΔE_f: -12 kJ/mol of atoms
- Symmetry: No. 216
- Density of states at the Fermi level: 7.19 states/eV/cell

Cell lengths 4.9852, 4.9852, 4.9852 Å; angles 60.00, 60.00, 60.00 degrees
Last column: magnetic moment on the atom in μB.
Fractional positions:
1 Mg 0.0000 0.0000 0.0000  -0.01
2 Hg 0.2500 0.2500 0.2500  -0.02
3 Ce 0.5000 0.5000 0.5000  0.54

***

The following is a GGA-PBE calculation of a relaxed structure of Tb3Nd3Tm8, from Alexandria via LeMat-Bulk.

- ΔE_f: 11 kJ/mol of atoms
- Symmetry: No. 71
- Density of states at the Fermi level: 22.98 states/eV/cell

Cell lengths 5.6095, 9.6424, 9.6424 Å; angles 102.34, 73.08, 73.08 degrees
Fractional positions:
1 Tb 0.5000 0.5000 0.5000
2 Tb 0.7978 0.2025 0.2025
3 Tb 0.2022 0.7975 0.7975
4 Nd 0.5000 0.0000 0.0000
5 Nd 0.0000 0.8145 0.1855
6 Nd 0.0000 0.1855 0.8145
7 Tm 0.6615 0.1186 0.5584
8 Tm 0.3385 0.8814 0.4416
9 Tm 0.6615 0.5584 0.1186
10 Tm 0.3385 0.4416 0.8814
11 Tm 0.8417 0.7608 0.5557
12 Tm 0.1583 0.2392 0.4443
13 Tm 0.8417 0.5557 0.7608
14 Tm 0.1583 0.4443 0.2392

***

The following is a GGA-PBE calculation of a relaxed structure of Pr4Nd5Tl, from Alexandria via LeMat-Bulk.

- ΔE_f: 9 kJ/mol of atoms
- Symmetry: No. 107
- Density of states at the Fermi level: 14.42 states/eV/cell
- Polymorph energy (0 for the lowest one): 83 meV/atom

Cell lengths 6.1210, 8.2705, 8.2705 Å; angles 82.13, 68.28, 68.28 degrees
Fractional positions:
1 Pr 0.4641 0.3121 0.6880
2 Pr 0.7762 0.6880 0.6879
3 Pr 0.1520 0.3120 0.3121
4 Pr 0.4642 0.6879 0.3120
5 Nd 0.7656 0.3727 0.9999
6 Nd 0.1383 0.9999 0.6273
7 Nd 0.7655 0.0001 0.3727
8 Nd 0.1382 0.6273 0.0001
9 Nd 0.6623 0.0000 0.0000
10 Tl 0.1839 0.0000 0.0000

***

The following is a GGA-PBE calculation of a relaxed structure of GaBi3, from Alexandria via LeMat-Bulk.

- ΔE_f: 9 kJ/mol of atoms
- Symmetry: No. 44
- Density of states at the Fermi level: 1.89 states/eV/cell
- Polymorph energy (0 for the lowest one): 0 meV/atom

Cell lengths 3.3766, 6.1455, 6.7243 Å; angles 117.19, 104.54, 90.00 degrees
Fractional positions:
1 Bi 0.2886 0.6148 0.5771
2 Bi 0.5000 0.4818 0.0000
3 Bi 0.7114 0.0377 0.4229
4 Ga 0.0000 0.0324 0.0000

***

The following is a GGA-PBE calculation of a relaxed structure of PmSc5S6, from Alexandria via LeMat-Bulk.

- Symmetry: No. 12
- ΔE_f (raw): -181.04 kJ per mole of atoms
- Density of states at the Fermi level: 5.67 states/eV/cell

Cell lengths 6.5037, 6.5037, 6.5013 Å; angles 99.59, 99.59, 120.11 degrees
Fractional positions:
1 Sc 0.8417 0.1583 0.5000
2 Sc 0.6639 0.3361 0.0000
3 Sc 0.5000 0.5000 0.5000
4 Sc 0.3361 0.6639 0.0000
5 Sc 0.1583 0.8417 0.5000
6 S 0.4369 0.0860 0.2600
7 S 0.9140 0.5631 0.7400
8 S 0.2637 0.2637 0.7434
9 S 0.7363 0.7363 0.2566
10 S 0.0860 0.4369 0.2600
11 S 0.5631 0.9140 0.7400
12 Pm 0.0000 0.0000 0.0000

***

The following is a GGA-PBE calculation of a relaxed structure of Er6Tl2Pt, from Alexandria via LeMat-Bulk.

- ΔE_f: -47 kJ/mol of atoms
- Symmetry: No. 38
- Density of states at the Fermi level: 10.93 states/eV/cell
- Polymorph energy (0 for the lowest one): 0 meV/atom

Cell lengths 3.8253, 8.6281, 8.6162 Å; angles 120.05, 90.00, 90.00 degrees
Last column: magnetic moment on the atom in μB.
Fractional positions:
1 Er 0.5000 0.6060 0.0000  0.15
2 Er 0.5000 0.3930 0.3933  0.14
3 Er 0.5000 0.9997 0.6067  0.14
4 Er 0.0000 0.2454 0.0000  0.14
5 Er 0.0000 0.7554 0.7558  0.14
6 Er 0.0000 0.9996 0.2442  0.14
7 Tl 0.0000 0.3330 0.6664  0.00
8 Tl 0.0000 0.6666 0.3336  0.00
9 Pt 0.5000 0.0014 0.0000  0.01

***

The following is a GGA-PBE calculation of a relaxed structure of HfNbIrN2, from Alexandria via LeMat-Bulk.

- Symmetry: No. 123
- ΔE_f (raw): 88.28 kJ per mole of atoms
- Density of states at the Fermi level: 4.57 states/eV/cell

Cell lengths 3.9184, 6.2506, 3.9184 Å; angles 90.00, 90.00, 90.00 degrees
Last column: magnetic moment on the atom in μB.
Fractional positions:
1 Nb 0.0000 0.0000 0.0000  0.03
2 Ir 0.5000 0.5000 0.5000  0.58
3 Hf 0.0000 0.5000 0.0000  0.00
4 N 0.0000 0.0000 0.5000  0.25
5 N 0.5000 0.0000 0.0000  0.13

***

The following is a GGA-PBE calculation of a relaxed structure of Y2MgCl, from Alexandria via LeMat-Bulk.

- Symmetry: No. 47
- ΔE_f (raw): -60.82 kJ per mole of atoms
- Density of states at the Fermi level: 2.96 states/eV/cell
- Polymorph energy (0 for the lowest one): 17 meV/atom

Cell lengths 3.5819, 3.7403, 8.3199 Å; angles 90.00, 90.00, 90.00 degrees
Fractional positions:
1 Cl 0.5000 0.2500 0.2500
2 Mg 0.5000 0.7500 0.7500
3 Y 0.0000 0.2499 0.9848
4 Y 0.0000 0.2501 0.5152